Mn3Cu2NiO8 after structural relaxation. Source: Alexandria via LeMat-Bulk, functional PBE+U.

```
Mn3Cu2NiO8
1.0
-5.886 0.817 -0.539
2.100 -4.738 2.907
-3.256 1.487 4.775
Mn Cu Ni O
3 2 1 8
direct
0.500 0.500 0.500 Mn
0.000 0.500 0.000 Mn
0.000 0.500 0.500 Mn
0.255 0.132 0.123 Cu
0.745 0.868 0.877 Cu
0.500 0.000 0.500 Ni
0.984 0.726 0.258 O
0.990 0.278 0.255 O
0.533 0.278 0.712 O
0.533 0.278 0.255 O
0.016 0.274 0.742 O
0.010 0.722 0.745 O
0.467 0.722 0.288 O
0.467 0.722 0.745 O
```

Computed properties:
* final energy: -6.39 eV per atom
* M_tot: 0.7857 μB per atom